No. 1
Density functional theory data (PBE) for crystalline Y2AlGe at its relaxed geometry.

Unit cell a=4.028 b=4.366 c=10.906 alpha=90.00 beta=90.00 gamma=90.00
Space group Amm2 (No. 38)
Inequivalent atoms, fractional coordinates:
Y (0.000, 0.000, 0.000) (multiplicity 2)
Y (0.500, 0.000, 0.282) (multiplicity 2)
Al (0.000, 0.000, 0.715) (multiplicity 2)
Ge (0.500, 0.000, 0.563) (multiplicity 2)

Output
DOS(E_F): 3.4 states/eV/f.u.
calculated formation energy: -0.73 eV/atom

No. 2
Density functional theory data (PBE) for crystalline Er3In2 at its relaxed geometry.

Unit cell a=3.512 b=3.512 c=21.970 alpha=90.00 beta=90.00 gamma=90.00
Space group I4/mmm (No. 139)
Inequivalent atoms, fractional coordinates:
Er (0.000, 0.000, 0.000) (multiplicity 2)
Er (0.000, 0.000, 0.193) (multiplicity 4)
In (0.000, 0.000, 0.404) (multiplicity 4)

Output
DOS(E_F): 4.8 states/eV/f.u.
calculated formation energy: -0.37 eV/atom

No. 3
Density functional theory data (PBE) for crystalline SrTlOs2 at its relaxed geometry.

Unit cell a=8.393 b=4.530 c=6.363 alpha=90.00 beta=117.49 gamma=90.00
Space group C2/m (No. 12)
Inequivalent atoms, fractional coordinates:
Sr (0.000, 0.000, 0.000) (multiplicity 2)
Tl (0.000, 0.500, 0.500) (multiplicity 2)
Os (0.189, 0.000, 0.525) (multiplicity 4)

Output
DOS(E_F): 2.2 states/eV/f.u.
calculated formation energy: 0.55 eV/atom

No. 4
Density functional theory data (PBE) for crystalline MgTl at its relaxed geometry.

Unit cell a=5.4445 b=5.4445 c=12.4007 alpha=90.00 beta=90.00 gamma=120.00
Space group R-3m (No. 166, hexagonal axes)
Inequivalent atoms, fractional coordinates:
Mg (0.0000, 0.0000, 0.1245) (multiplicity 6)
Tl (0.0000, 0.0000, 0.3707) (multiplicity 6)

Output
DOS(E_F): 0.9 states/eV/f.u.
calculated formation energy: 0.08 eV/atom

The calculation returns the following mass density values, one per record and in order: 4.80; 8.96; 10.41; 7.16 g cm⁻³.